Nd3CoSe | PBE-GGA | relaxed

Calculated values
final energy: -4.841 eV/atom
M_tot: 0.183 μB per cell

extended XYZ file:
```
5
Lattice="5.477 0.000 0.000 0.000 5.477 0.000 0.000 0.000 5.477" Properties=species:S:1:pos:R:3 pbc="T T T"
Nd 2.738 0.000 2.738
Nd 2.738 2.738 0.000
Nd 0.000 2.738 2.738
Se 2.738 2.738 2.738
Co 0.000 0.000 0.000
```